No. 1
This record from Alexandria describes an optimized crystal structure of Ba2DyTmS4. The functional is PBE.

Values from the calculation:
Raw formation energy in eV/f.u.: -15.96
Total energy in eV/atom: -5.6739
Mass density in g cm⁻³: 5.90

abc: 4.0960 7.0728 7.5176
angles: 108.37 90.00 90.00
Closest atoms and distances in Å follow each position.
Sites, in units of the cell vectors:
1 Dy 0.5000 0.5000 0.0000  6 S 2.79
2 S 0.5000 0.2323 0.2053  2 Tm 2.77, 1 Dy 2.79
3 S 0.0000 0.7389 0.2068  1 Tm 2.76, 2 Dy 2.79
4 S 0.0000 0.2611 0.7932  1 Tm 2.76, 2 Dy 2.79
5 S 0.5000 0.7677 0.7947  2 Tm 2.77, 1 Dy 2.79
6 Tm 0.0000 0.0000 0.0000  6 S 2.76-2.77
7 Ba 0.0000 0.5000 0.5000  6 S 3.17
8 Ba 0.5000 0.0000 0.5000  6 S 3.15

***

No. 2
This record from Alexandria describes an optimized crystal structure of BaDy2US8. The functional is PBE.

Values from the calculation:
Raw formation energy in eV/f.u.: -18.15
Total energy in eV/atom: -6.1324
Mass density in g cm⁻³: 5.54

abc: 6.9110 5.1687 8.4224
angles: 72.68 89.53 87.51
Closest atoms and distances in Å follow each position.
Sites, in units of the cell vectors:
1 Dy 0.5473 0.3801 0.8069  7 S 2.74-3.02
2 U 0.0000 0.0000 0.0000  6 S 2.47-2.66
3 S 0.7687 0.2346 0.1415  1 U 2.47
4 S 0.6732 0.8329 0.9063  1 U 2.66, 3 Dy 2.80-2.88
5 S 0.4652 0.2006 0.5054  1 S 2.14
6 Dy 0.4527 0.6199 0.1931  7 S 2.74-3.02
7 S 0.5348 0.7994 0.4946  1 S 2.14
8 S 0.9333 0.3734 0.7283  1 U 2.55, 1 Dy 2.74
9 Ba 0.0000 0.0000 0.5000  8 S 3.12-3.43
10 S 0.3268 0.1671 0.0937  1 U 2.66, 3 Dy 2.80-2.88
11 S 0.0667 0.6266 0.2717  1 U 2.55, 1 Dy 2.74
12 S 0.2313 0.7654 0.8585  1 U 2.47

***

No. 3
This record from Alexandria describes an optimized crystal structure of Ba3DyU2S9. The functional is PBE.

Values from the calculation:
Raw formation energy in eV/f.u.: -26.43
Total energy in eV/atom: -6.4351
Mass density in g cm⁻³: 5.15

abc: 7.4052 7.4052 9.0908
angles: 90.00 90.00 120.00
Closest atoms and distances in Å follow each position.
Sites, in units of the cell vectors:
1 U 0.3333 0.6667 0.1678  6 S 2.58-2.63
2 S 0.5000 0.0000 0.0000  2 U 2.63
3 Ba 0.3333 0.6667 0.6540  12 S 3.62-3.80
4 S 0.5000 0.5000 0.0000  2 U 2.63
5 S 0.8316 0.1684 0.6692  1 U 2.58, 1 Dy 2.65
6 Ba 0.6667 0.3333 0.3460  12 S 3.62-3.80
7 S 0.1684 0.3368 0.3308  1 U 2.58, 1 Dy 2.65
8 S 0.3368 0.1684 0.6692  1 U 2.58, 1 Dy 2.65
9 U 0.6667 0.3333 0.8322  6 S 2.58-2.63
10 Dy 0.0000 0.0000 0.5000  6 S 2.65
11 S 0.8316 0.6632 0.6692  1 U 2.58, 1 Dy 2.65
12 S 0.1684 0.8316 0.3308  1 U 2.58, 1 Dy 2.65
13 Ba 0.0000 0.0000 0.0000  12 S 3.70
14 S 0.0000 0.5000 0.0000  2 U 2.63
15 S 0.6632 0.8316 0.3308  1 U 2.58, 1 Dy 2.65